Below is a relaxed Cd2InWO6 crystal, with properties calculated at the GGA+U level.

electronic total energy: -5.6665 eV per atom

Cell lengths 5.5989, 5.6391, 8.1021 Å; angles 90.00, 89.81, 90.00 degrees
Closest atoms and distances in Å follow each position.
Fractional positions:
In1 0.0000 0.5000 0.5000  6 O 2.15-2.23
Cd1 0.0045 0.9584 0.2513  4 O 2.27-2.36
O1 0.3914 0.9440 0.7404  1 W 2.06, 1 In 2.21, 1 Cd 2.28
O2 0.8290 0.7929 0.9435  1 W 1.96
O3 0.8914 0.5560 0.2404  1 W 2.06, 1 In 2.21, 1 Cd 2.28
O4 0.3019 0.6847 0.0599  1 W 2.05, 1 In 2.15, 1 Cd 2.27
Cd2 0.9955 0.0416 0.7487  4 O 2.27-2.36
O5 0.1710 0.2071 0.0565  1 W 1.96
O6 0.1981 0.1847 0.4401  1 W 2.05, 1 In 2.15, 1 Cd 2.27
W1 0.5000 0.0000 0.5000  6 O 1.96-2.06
W2 0.0000 0.5000 0.0000  6 O 1.96-2.06
Cd3 0.5045 0.5416 0.7513  4 O 2.27-2.36
In2 0.5000 0.0000 0.0000  6 O 2.15-2.23
O7 0.3290 0.7071 0.4435  1 W 1.96
O8 0.6981 0.3153 0.9401  1 W 2.05, 1 In 2.15, 1 Cd 2.27
O9 0.8019 0.8153 0.5599  1 W 2.05, 1 In 2.15, 1 Cd 2.27
Cd4 0.4955 0.4584 0.2487  4 O 2.27-2.36
O10 0.1086 0.4440 0.7596  1 W 2.06, 1 In 2.21, 1 Cd 2.28
O11 0.6710 0.2929 0.5565  1 W 1.96
O12 0.6086 0.0560 0.2596  1 W 2.06, 1 In 2.21, 1 Cd 2.28